First-principles (PBE) data for a relaxed structure of Pm2SmDy3P6, as listed in Alexandria via LeMat-Bulk.

Calculated values
Energy, eV/atom: -6.627
Crystal system: monoclinic

Lattice parameters (Å, degrees): 7.0430 12.1965 7.0407 90.00 109.45 90.00
With the nearest neighbours (Å) after each atom.
Space group C2/m (No. 12)
Unique sites:
1 Pm 0.0000 0.1666 0.0000 [4 per cell]  6 P 2.90
2 Sm 0.0000 0.5000 0.0000 [2 per cell]  6 P 2.90
3 Dy 0.0000 0.0000 0.5000 [2 per cell]  6 P 2.85
4 Dy 0.0000 0.3332 0.5000 [4 per cell]  6 P 2.85
5 P 0.2468 0.5000 0.7428 [4 per cell]  3 Dy 2.85, 1 Sm 2.90, 2 Pm 2.90
6 P 0.2481 0.1663 0.7430 [8 per cell]  3 Dy 2.85, 1 Sm 2.90, 2 Pm 2.90